w:
{
  "formula": "BeSi2Rh",
  "functional": "PBE-GGA",
  "state": "optimized geometry",
  "total_magnetization_mub_per_cell": 0.00,
  "dos_at_fermi_per_ev_cell": 1.81,
  "lattice": [[-2.0246, 0.8195, 1.5992], [-1.7024, -1.6457, -1.3120], [1.4585, -5.0398, 4.4291]],
  "species": ["Be", "Si", "Si", "Rh"],
  "frac_coords": [[0.5000, 0.5000, 0.2500], [0.0000, 0.0000, 0.0036], [0.0000, 0.0000, 0.4964], [0.5000, 0.5000, 0.7500]]
}

=====

x:
{
  "formula": "BeSi2Rh",
  "functional": "PBE-GGA",
  "state": "optimized geometry",
  "total_magnetization_mub_per_cell": 0.00,
  "dos_at_fermi_per_ev_cell": 3.53,
  "lattice": [[5.7799, 0.0000, 0.0000], [0.0000, 5.7799, 0.0000], [2.8899, 2.8899, 4.0389]],
  "species": ["Be", "Be", "Si", "Si", "Si", "Si", "Rh", "Rh"],
  "frac_coords": [[0.5000, 0.5000, 0.0000], [0.2500, 0.7500, 0.5000], [0.6135, 0.1250, 0.2500], [0.1365, 0.6250, 0.2500], [0.3750, 0.3865, 0.7500], [0.8750, 0.8635, 0.7500], [0.0000, 0.0000, 0.0000], [0.7500, 0.2500, 0.5000]]
}

=====

y:
{
  "formula": "BeSi2Rh",
  "functional": "PBE-GGA",
  "state": "optimized geometry",
  "total_magnetization_mub_per_cell": 0.00,
  "dos_at_fermi_per_ev_cell": 1.91,
  "lattice": [[-0.1816, -3.4768, -1.0359], [3.4590, 0.1915, -1.2492], [1.2535, -1.0515, 3.3095]],
  "species": ["Be", "Si", "Si", "Rh"],
  "frac_coords": [[0.5000, 0.0000, 0.5000], [0.0000, 0.0000, 0.0000], [0.5000, 0.5000, 0.0000], [0.0000, 0.5000, 0.5000]]
}

=====

Most stable: y. Least stable: x.